[1]
# TiFeTe2

Crystalline TiFeTe2 at its relaxed geometry (GGA-PBE, Alexandria).

Calculated values
DOS(E_F): 45.75 states/eV/cell
calculated total energy: -5.593 eV/atom
space-group type: I-42d (122)
crystal system: tetragonal
E_form (uncorrected): 67.2 meV per atom

a = 6.1410 Å, b = 6.1410 Å, c = 12.0507 Å
α = 90.00°, β = 90.00°, γ = 90.00°
Atoms (fractional coordinates):
Ti: 0.0000 0.0000 0.0000
Ti: 0.0000 0.5000 0.2500
Ti: 0.5000 0.0000 0.7500
Ti: 0.5000 0.5000 0.5000
Fe: 0.0000 0.0000 0.5000
Fe: 0.0000 0.5000 0.7500
Fe: 0.5000 0.0000 0.2500
Fe: 0.5000 0.5000 0.0000
Te: 0.2330 0.2500 0.6250
Te: 0.2500 0.7330 0.8750
Te: 0.2500 0.7670 0.3750
Te: 0.2670 0.2500 0.1250
Te: 0.7330 0.7500 0.1250
Te: 0.7500 0.2330 0.3750
Te: 0.7500 0.2670 0.8750
Te: 0.7670 0.7500 0.6250

=====

[2]
# BeSeBr2

Crystalline BeSeBr2 at its relaxed geometry (GGA-PBE, Alexandria).

Calculated values
DOS(E_F): 1.60 states/eV/cell
calculated total energy: -2.316 eV/atom
space-group type: P4/mmm (123)
excess energy over the best structure of this formula in the dataset: 0.765 eV/atom
crystal system: tetragonal
E_form (uncorrected): 323.0 meV per atom

a = 3.0947 Å, b = 3.0947 Å, c = 11.1193 Å
α = 90.00°, β = 90.00°, γ = 90.00°
Atoms (fractional coordinates):
Be: 0.0000 0.0000 0.0000
Se: 0.0000 0.0000 0.5000
Br: 0.5000 0.5000 0.1390
Br: 0.5000 0.5000 0.8610

=====

[3]
# Ho8SiS6

Crystalline Ho8SiS6 at its relaxed geometry (GGA-PBE, Alexandria).

Calculated values
DOS(E_F): 9.60 states/eV/cell
calculated total energy: -5.916 eV/atom
space-group type: P-3 (147)
crystal system: trigonal
E_form (uncorrected): -1462.5 meV per atom

a = 10.0069 Å, b = 10.0069 Å, c = 3.9054 Å
α = 90.00°, β = 90.00°, γ = 120.00°
Atoms (fractional coordinates):
Ho: 0.0323 0.7105 0.2548
Ho: 0.2895 0.3218 0.2548
Ho: 0.3218 0.0323 0.7452
Ho: 0.3333 0.6667 0.7479
Ho: 0.6667 0.3333 0.2521
Ho: 0.6782 0.9677 0.2548
Ho: 0.7105 0.6782 0.7452
Ho: 0.9677 0.2895 0.7452
Si: 0.0000 0.0000 0.5000
S: 0.1334 0.4819 0.2492
S: 0.3484 0.8666 0.2492
S: 0.4819 0.3484 0.7508
S: 0.5181 0.6516 0.2492
S: 0.6516 0.1334 0.7508
S: 0.8666 0.5181 0.7508

=====

[4]
# YSc2In

Crystalline YSc2In at its relaxed geometry (GGA-PBE, Alexandria).

Calculated values
DOS(E_F): 6.04 states/eV/cell
calculated total energy: -5.684 eV/atom
space-group type: Pmm2 (25)
crystal system: orthorhombic

a = 3.4624 Å, b = 4.5245 Å, c = 6.5136 Å
α = 90.00°, β = 90.00°, γ = 90.00°
Atoms (fractional coordinates):
Y: 0.0000 0.0000 0.0000
Sc: 0.0000 0.0000 0.5026
Sc: 0.5000 0.5000 0.7362
In: 0.5000 0.5000 0.2593